Entry 1:
# PBE CdTe2MoW, relaxed
# * raw total energy: -19.68 eV for the cell shown
# * raw formation energy: 2.26 eV/atom
data_CdTe2MoW
_cell_length_a 5.400
_cell_length_b 5.400
_cell_length_c 5.121
_cell_angle_alpha 90.00
_cell_angle_beta 90.00
_cell_angle_gamma 90.00
_space_group_name_H-M_alt 'P 4/m m m'
_space_group_IT_number 123
_space_group_name_Hall '-P 4 2'
loop_
_atom_site_label
_atom_site_type_symbol
_atom_site_fract_x
_atom_site_fract_y
_atom_site_fract_z
Cd1 Cd 0.000 0.000 0.000
Te1 Te 0.000 0.500 0.000
Mo1 Mo 0.500 0.500 0.500
W1 W 0.000 0.000 0.500


Entry 2:
# PBE CaNd2YAs4, relaxed
# * raw total energy: -47.44 eV for the cell shown
data_CaNd2YAs4
_cell_length_a 7.297
_cell_length_b 4.233
_cell_length_c 7.362
_cell_angle_alpha 90.00
_cell_angle_beta 109.56
_cell_angle_gamma 90.00
_space_group_name_H-M_alt 'P 1 2/m 1'
_space_group_IT_number 10
loop_
_space_group_symop_operation_xyz
'x,y,z'
'-x,-y,-z'
'-x,y,-z'
'x,-y,z'
loop_
_atom_site_label
_atom_site_type_symbol
_atom_site_fract_x
_atom_site_fract_y
_atom_site_fract_z
Ca1 Ca 0.000 0.000 0.000
Nd1 Nd 0.500 0.000 0.500
Nd2 Nd 0.500 0.500 0.000
Y1 Y 0.000 0.500 0.500
As1 As 0.244 0.000 0.744
As2 As 0.248 0.500 0.254